(1)
First-principles (PBE-GGA) data for an optimized crystal structure of Sb2Se2Br, as listed in the Alexandria database.

Geometry as extended XYZ:
```
10
Lattice="-5.538 4.275 -5.117 -5.566 -6.626 0.489 -1.645 1.612 3.127" Properties=species:S:1:pos:R:3 pbc="T T T"
Se -7.575 2.100 -2.656
Se -3.595 1.404 -0.204
Se -5.174 -2.839 1.154
Se -9.153 -2.143 -1.298
Sb -5.979 -3.990 -1.088
Sb -2.777 -1.000 -0.945
Sb -8.327 -1.351 -3.683
Sb -5.125 1.638 -3.541
Br 0.000 0.000 0.000
Br -5.552 -1.176 -2.314
```

Computed properties:
E above lowest polymorph   0.096 eV/atom
Size of the total moment   0.000 μB/cell
Calculated total energy   -3.541 eV/atom
E_form (uncorrected)   -0.16 eV/atom
Theoretical density   5.48 g/cm3



(2)
First-principles (PBE-GGA) data for an optimized crystal structure of NpHgGe2, as listed in the Alexandria database.

Geometry as extended XYZ:
```
4
Lattice="4.000 0.000 0.000 0.000 4.572 0.000 0.000 0.000 4.572" Properties=species:S:1:pos:R:3 pbc="T T T"
Ge 0.000 0.000 2.286
Ge 0.000 2.286 0.000
Np 2.000 2.286 2.286
Hg 2.000 0.000 0.000
```

Computed properties:
Formation enthalpy at 0 K   -0.07 eV per atom
E above lowest polymorph   0.000 eV/atom
Size of the total moment   3.712 μB/cell
Calculated total energy   -5.694 eV/atom
Theoretical density   11.57 g/cm3



(3)
First-principles (PBE-GGA) data for an optimized crystal structure of Ce4PrSe6, as listed in the Alexandria database.

Geometry as extended XYZ:
```
22
Lattice="-5.032 -4.723 4.830 6.299 -5.511 0.950 2.647 4.020 6.913" Properties=species:S:1:pos:R:3 pbc="T T T"
Ce 5.722 -2.219 5.771
Ce 0.801 -2.074 9.937
Ce -1.809 -3.995 6.921
Ce 1.612 -6.670 6.063
Ce 3.112 -4.140 2.755
Ce 4.222 -4.750 9.079
Ce 2.302 0.457 6.629
Ce -0.309 -1.464 3.614
Se 4.075 -4.975 5.742
Se 2.154 -4.240 11.531
Se -2.377 -2.219 9.285
Se -0.161 -1.239 6.950
Se 1.044 -4.895 8.423
Se 6.688 -3.055 8.757
Se 2.869 -1.319 4.270
Se 1.759 -1.974 1.162
Se 3.652 -1.709 8.221
Se -2.775 -3.159 3.935
Se 6.290 -3.995 3.408
Se 0.262 -4.505 4.472
Pr 1.957 -3.107 6.346
Pr 0.000 0.000 0.000
```

Computed properties:
Size of the total moment   10.884 μB/cell
Calculated total energy   -6.152 eV/atom
E_form (uncorrected)   -1.66 eV/atom
Theoretical density   6.53 g/cm3



(4)
First-principles (PBE-GGA) data for an optimized crystal structure of CaGaCu, as listed in the Alexandria database.

Geometry as extended XYZ:
```
3
Lattice="-1.763 -1.400 2.172 -0.541 -2.371 -1.967 7.112 -1.615 2.479" Properties=species:S:1:pos:R:3 pbc="T T T"
Ca 1.583 -0.930 0.686
Ga 2.162 -3.831 1.537
Cu 4.085 -4.961 2.370
```

Computed properties:
Formation enthalpy at 0 K   0.42 eV per atom
Size of the total moment   0.000 μB/cell
Calculated total energy   -2.624 eV/atom
Theoretical density   3.99 g/cm3



(5)
First-principles (PBE-GGA) data for an optimized crystal structure of Na8GaHg2, as listed in the Alexandria database.

Geometry as extended XYZ:
```
11
Lattice="5.232 0.000 0.000 0.000 7.690 0.027 -2.616 -3.245 7.934" Properties=species:S:1:pos:R:3 pbc="T T T"
Na 0.000 5.704 0.428
Na 2.616 2.617 1.785
Na 2.616 5.974 2.632
Na 0.000 1.827 6.175
Na 2.616 -1.260 7.533
Na 0.000 0.640 2.719
Na 0.000 -1.530 5.329
Na 2.616 3.805 5.242
Hg 0.000 3.884 3.146
Hg 2.616 0.560 4.815
Ga 2.616 0.000 0.000
```

Computed properties:
Formation enthalpy at 0 K   -0.10 eV per atom
E above lowest polymorph   0.000 eV/atom
Size of the total moment   0.000 μB/cell
Calculated total energy   -1.386 eV/atom
Theoretical density   3.40 g/cm3



(6)
First-principles (PBE-GGA) data for an optimized crystal structure of Ca2LaHg2, as listed in the Alexandria database.

Geometry as extended XYZ:
```
10
Lattice="8.606 0.000 0.000 0.000 8.606 0.000 0.000 0.000 4.194" Properties=species:S:1:pos:R:3 pbc="T T T"
Ca 2.939 1.364 2.097
Ca 5.667 7.242 2.097
Ca 1.364 5.667 2.097
Ca 7.242 2.939 2.097
La 4.303 4.303 0.000
La 0.000 0.000 0.000
Hg 1.192 3.111 0.000
Hg 7.414 5.495 0.000
Hg 5.495 1.192 0.000
Hg 3.111 7.414 0.000
```

Computed properties:
Formation enthalpy at 0 K   -0.40 eV per atom
E above lowest polymorph   0.000 eV/atom
Size of the total moment   0.000 μB/cell
Calculated total energy   -2.311 eV/atom
Theoretical density   6.63 g/cm3



(7)
First-principles (PBE-GGA) data for an optimized crystal structure of KSi2Te8Ir, as listed in the Alexandria database.

Geometry as extended XYZ:
```
12
Lattice="-4.798 -2.629 3.984 1.374 -1.406 6.476 -3.760 7.031 5.861" Properties=species:S:1:pos:R:3 pbc="T T T"
Te -3.069 5.178 7.671
Te -4.645 -0.130 11.567
Te -0.763 -0.959 8.032
Te -2.539 3.125 4.754
Te -6.422 3.955 8.289
Te -3.209 -0.967 5.361
Te -4.115 -2.183 8.650
Te -3.975 3.963 10.960
Si -5.377 2.212 12.231
Si -1.807 0.784 4.090
K -3.592 1.498 8.160
Ir 0.000 0.000 0.000
```

Computed properties:
Size of the total moment   0.000 μB/cell
Calculated total energy   -3.947 eV/atom
E_form (uncorrected)   -0.12 eV/atom
Theoretical density   6.02 g/cm3



(8)
First-principles (PBE-GGA) data for an optimized crystal structure of InAs2P, as listed in the Alexandria database.

Geometry as extended XYZ:
```
4
Lattice="5.449 0.000 0.000 0.000 3.893 0.000 0.000 0.000 3.893" Properties=species:S:1:pos:R:3 pbc="T T T"
In 2.724 1.947 0.000
As 0.000 0.000 0.000
As 0.000 1.947 1.947
P 2.724 0.000 1.947
```

Computed properties:
Formation enthalpy at 0 K   0.42 eV per atom
E above lowest polymorph   0.407 eV/atom
Size of the total moment   0.000 μB/cell
Calculated total energy   -3.940 eV/atom
Theoretical density   5.94 g/cm3



(9)
First-principles (PBE-GGA) data for an optimized crystal structure of Pm3Ru, as listed in the Alexandria database.

Geometry as extended XYZ:
```
4
Lattice="-2.177 1.503 -2.603 -0.694 -3.136 -1.230 -7.451 -0.647 5.856" Properties=species:S:1:pos:R:3 pbc="T T T"
Pm -2.385 -0.899 -1.170
Pm -3.840 -1.871 2.130
Pm -6.778 0.258 3.170
Ru -7.252 -0.629 5.700
```

Computed properties:
Formation enthalpy at 0 K   0.12 eV per atom
E above lowest polymorph   0.278 eV/atom
Size of the total moment   0.000 μB/cell
Calculated total energy   -5.761 eV/atom
Theoretical density   7.34 g/cm3



(10)
First-principles (PBE-GGA) data for an optimized crystal structure of SiTeS2Cl, as listed in the Alexandria database.

Geometry as extended XYZ:
```
5
Lattice="4.730 0.000 0.000 0.000 4.730 0.000 0.000 0.000 4.520" Properties=species:S:1:pos:R:3 pbc="T T T"
S 2.365 0.000 0.000
S 0.000 2.365 0.000
Te 2.365 2.365 2.260
Si 0.000 0.000 0.000
Cl 0.000 0.000 2.260
```

Computed properties:
E above lowest polymorph   0.000 eV/atom
Size of the total moment   0.000 μB/cell
Calculated total energy   -3.565 eV/atom
E_form (uncorrected)   0.17 eV/atom
Theoretical density   4.19 g/cm3



(11)
First-principles (PBE-GGA) data for an optimized crystal structure of Pu2TlF6, as listed in the Alexandria database.

Geometry as extended XYZ:
```
9
Lattice="-2.827 1.465 2.736 3.124 -2.470 1.329 6.259 8.847 1.729" Properties=species:S:1:pos:R:3 pbc="T T T"
F 0.004 1.351 2.501
F 1.921 2.715 0.531
F 6.552 6.491 3.294
F 4.339 6.133 1.199
F 2.748 5.229 3.259
F 3.808 2.613 2.535
Pu 5.258 4.662 2.936
Pu 1.298 3.181 2.859
Tl 0.000 0.000 0.000
```

Computed properties:
Size of the total moment   10.996 μB/cell
Calculated total energy   -7.786 eV/atom
E_form (uncorrected)   -3.09 eV/atom
Theoretical density   7.99 g/cm3



(12)
First-principles (PBE-GGA) data for an optimized crystal structure of BaEuCd, as listed in the Alexandria database.

Geometry as extended XYZ:
```
3
Lattice="5.775 0.000 0.000 2.888 5.002 0.000 2.888 1.667 4.716" Properties=species:S:1:pos:R:3 pbc="T T T"
Eu 0.000 0.000 0.000
Ba 5.775 3.334 2.358
Cd 2.888 1.667 1.179
```

Computed properties:
Formation enthalpy at 0 K   -0.08 eV per atom
E above lowest polymorph   0.131 eV/atom
Size of the total moment   7.852 μB/cell
Calculated total energy   -4.452 eV/atom
Theoretical density   4.90 g/cm3